{"formula": "YTlTe", "functional": "meta-GGA SCAN", "state": "single point on PBEsol structure", "formation_energy_uncorrected_ev_per_atom": -0.1835, "lattice": [[5.1409, 0.0000, 0.0000], [2.5705, 4.4522, 0.0000], [2.5705, 1.4841, 4.1976]], "species": ["Te", "Tl", "Y"], "fractional_positions": [[0.5000, 0.5000, 0.5000], [0.2500, 0.2500, 0.2500], [0.0000, 0.0000, 0.0000]]}

{"formula": "KSiSe", "functional": "meta-GGA SCAN", "state": "single point on PBEsol structure", "formation_energy_uncorrected_ev_per_atom": -0.1502, "lattice": [[-0.9096, -3.8631, 1.2302], [3.5001, 0.7371, -2.1143], [2.7679, 0.9083, 4.8987]], "species": ["K", "Si", "Se"], "fractional_positions": [[0.0000, 0.0000, 0.9890], [0.3333, 0.6667, 0.4257], [0.6667, 0.3333, 0.5854]]}

{"formula": "BeBrCl", "functional": "meta-GGA SCAN", "state": "single point on PBEsol structure", "formation_energy_uncorrected_ev_per_atom": -1.0539, "lattice": [[3.3500, 0.0000, 0.0000], [-1.6750, 2.9012, 0.0000], [0.0000, 0.0000, 6.2122]], "species": ["Be", "Br", "Cl"], "fractional_positions": [[0.0000, 0.0000, 0.0083], [0.3333, 0.6667, 0.7858], [0.6667, 0.3333, 0.2059]]}

{"formula": "Zr2MnInW", "functional": "meta-GGA SCAN", "state": "single point on PBEsol structure", "formation_energy_ev_per_fu": 4.04, "lattice": [[4.9603, 0.0000, 0.0000], [0.0000, 4.9603, 0.0000], [0.0000, 0.0000, 5.1988]], "species": ["Mn", "Zr", "Zr", "W", "In"], "fractional_positions": [[0.5000, 0.5000, 0.5000], [0.0000, 0.5000, 0.0000], [0.5000, 0.0000, 0.0000], [0.0000, 0.0000, 0.0000], [0.0000, 0.0000, 0.5000]]}

{"formula": "SrPOF2", "functional": "meta-GGA SCAN", "state": "single point on PBEsol structure", "formation_energy_uncorrected_ev_per_atom": -1.2322, "lattice": [[4.4964, 0.0000, 0.0000], [0.0000, 4.4964, 0.0000], [0.0000, 0.0000, 4.9002]], "species": ["Sr", "F", "F", "O", "P"], "fractional_positions": [[0.0000, 0.0000, 0.0000], [0.0000, 0.5000, 0.0000], [0.5000, 0.0000, 0.0000], [0.0000, 0.0000, 0.5000], [0.5000, 0.5000, 0.5000]]}

{"formula": "CsSnF3", "functional": "meta-GGA SCAN", "state": "single point on PBEsol structure", "formation_energy_uncorrected_ev_per_atom": -2.6060, "lattice": [[-2.3791, -1.8685, 3.3101], [2.2458, -3.8420, -0.5485], [3.6421, 1.8532, 3.5443]], "species": ["Cs", "Sn", "F", "F", "F"], "fractional_positions": [[0.9924, 0.0105, 0.9653], [0.4851, 0.4936, 0.4953], [0.4857, 0.9918, 0.5757], [0.9850, 0.4965, 0.5755], [0.4917, 0.5078, 0.8782]]}

{"formula": "Li2MnNiO4", "functional": "meta-GGA SCAN", "state": "single point on PBEsol structure", "e_above_lowest_polymorph_ev_per_atom": 0.049, "formation_energy_uncorrected_ev_per_atom": -1.9894, "lattice": [[-2.2619, 3.0227, -1.3369], [-1.2347, -2.2755, -3.0558], [-1.3634, -1.7069, 4.4466]], "species": ["Ni", "Mn", "O", "O", "O", "O", "Li", "Li"], "fractional_positions": [[0.0000, 0.0000, 0.0000], [0.2500, 0.7500, 0.5000], [0.4815, 0.9815, 0.9630], [0.7649, 0.7649, 0.5298], [0.0185, 0.5185, 0.0370], [0.2351, 0.2351, 0.4702], [0.7500, 0.2500, 0.5000], [0.5000, 0.5000, 0.0000]]}

{"formula": "BPdC2", "functional": "meta-GGA SCAN", "state": "single point on PBEsol structure", "formation_energy_ev_per_fu": 3.27, "lattice": [[4.3096, 0.0000, 0.0000], [0.0000, 4.3096, 0.0000], [-2.1548, -2.1548, 3.9555]], "species": ["C", "C", "C", "C", "B", "B", "Pd", "Pd"], "fractional_positions": [[0.7942, 0.3750, 0.2500], [0.4558, 0.8750, 0.2500], [0.6250, 0.5442, 0.7500], [0.1250, 0.2058, 0.7500], [0.7500, 0.2500, 0.5000], [0.5000, 0.5000, 0.0000], [0.2500, 0.7500, 0.5000], [0.0000, 0.0000, 0.0000]]}

Values for spin magnetization, μB per atom, ordered as above
0.00; 0.00; 0.00; 0.90; 0.20; 0.00; 0.26; 0.00